Entry 1:
Below is a geometry-optimized Hf6Sn3Ge structure, with properties calculated at the PBE-GGA level.

Lattice parameters (Å, degrees): 6.855 7.506 11.158 90.00 126.91 90.00
Element x y z (fractional)
Hf: 0.002 0.071 0.242
Hf: 0.002 0.429 0.742
Hf: 0.182 0.675 0.051
Hf: 0.182 0.825 0.551
Hf: 0.400 0.151 0.048
Hf: 0.400 0.349 0.548
Hf: 0.600 0.651 0.452
Hf: 0.600 0.849 0.952
Hf: 0.818 0.175 0.449
Hf: 0.818 0.325 0.949
Hf: 0.998 0.571 0.258
Hf: 0.998 0.929 0.758
Sn: 0.330 0.149 0.747
Sn: 0.330 0.351 0.247
Sn: 0.500 0.000 0.500
Sn: 0.500 0.500 0.000
Sn: 0.670 0.649 0.753
Sn: 0.670 0.851 0.253
Ge: 0.000 0.000 0.000
Ge: 0.000 0.500 0.500

Calculated values
Raw total energy in eV per cell: -156.28
Energy of formation from the pure elements in eV/atom: -0.18
Space-group type: P2_1/c (14)


Entry 2:
Below is a geometry-optimized SrBeSb3 structure, with properties calculated at the PBE-GGA level.

Lattice parameters (Å, degrees): 5.996 5.996 5.996 90.00 90.00 90.00
Element x y z (fractional)
Sr: 0.000 0.000 0.000
Be: 0.500 0.500 0.500
Sb: 0.000 0.000 0.500
Sb: 0.000 0.500 0.000
Sb: 0.500 0.000 0.000

Calculated values
Raw total energy in eV per cell: -11.18
Space-group type: Pm-3m (221)
Energy above the lowest structure with this stoichiometry in meV/atom: 1367
Energy relative to the elements, uncorrected in eV/atom: 1.320


Entry 3:
Below is a geometry-optimized Mn3PtS8 structure, with properties calculated at the PBE-GGA level.

Lattice parameters (Å, degrees): 6.813 6.813 7.525 117.55 117.55 60.03
Element x y z (fractional)
Mn: 0.000 0.000 0.000
Mn: 0.000 0.500 0.000
Mn: 0.500 0.000 0.000
Pt: 0.500 0.500 0.000
S: 0.230 0.740 0.206
S: 0.236 0.236 0.203
S: 0.260 0.260 0.794
S: 0.260 0.770 0.794
S: 0.740 0.230 0.206
S: 0.740 0.740 0.206
S: 0.764 0.764 0.797
S: 0.770 0.260 0.794

Calculated values
Raw total energy in eV per cell: -72.25
Space-group type: C2/m (12)
Energy relative to the elements, uncorrected in eV/atom: -0.474


Entry 4:
Below is a geometry-optimized Th4AlSi structure, with properties calculated at the PBE-GGA level.

Lattice parameters (Å, degrees): 7.493 7.493 5.897 90.00 90.00 90.00
Element x y z (fractional)
Th: 0.155 0.333 0.000
Th: 0.155 0.667 0.500
Th: 0.333 0.155 0.500
Th: 0.333 0.845 0.000
Th: 0.667 0.155 0.000
Th: 0.667 0.845 0.500
Th: 0.845 0.333 0.500
Th: 0.845 0.667 0.000
Al: 0.500 0.500 0.250
Al: 0.500 0.500 0.750
Si: 0.000 0.000 0.250
Si: 0.000 0.000 0.750

Calculated values
Raw total energy in eV per cell: -82.11
Space-group type: P4/mcc (124)
Energy relative to the elements, uncorrected in eV/atom: -0.368


Entry 5:
Below is a geometry-optimized Ce3IrPt2 structure, with properties calculated at the PBE-GGA level.

Lattice parameters (Å, degrees): 7.105 7.105 8.183 106.78 106.78 48.13
Element x y z (fractional)
Ce: 0.001 0.999 0.750
Ce: 0.340 0.341 0.920
Ce: 0.341 0.340 0.420
Ce: 0.659 0.660 0.580
Ce: 0.660 0.659 0.080
Ce: 0.999 0.001 0.250
Ir: 0.500 0.500 0.250
Ir: 0.500 0.500 0.750
Pt: 0.169 0.170 0.585
Pt: 0.170 0.169 0.085
Pt: 0.830 0.831 0.915
Pt: 0.831 0.830 0.415

Calculated values
Raw total energy in eV per cell: -88.96
Energy of formation from the pure elements in eV/atom: -0.96
Space-group type: C2/c (15)
Energy above the lowest structure with this stoichiometry in meV/atom: 0


Entry 6:
Below is a geometry-optimized Li2ZnCo structure, with properties calculated at the PBE-GGA level.

Lattice parameters (Å, degrees): 4.151 4.151 4.151 60.00 60.00 60.00
Element x y z (fractional)
Li: 0.000 0.000 0.000
Li: 0.250 0.250 0.250
Zn: 0.500 0.500 0.500
Co: 0.750 0.750 0.750

Calculated values
Raw total energy in eV per cell: -11.91
Energy of formation from the pure elements in eV/atom: 0.07
Space-group type: F-43m (216)


Results for volume: 22.952 43.112 21.317 27.592 24.318 12.641 (in A^3/atom, following the order of the records).